Entry 1:
! Y2BePb | Alexandria | PBE | optimized geometry; values from VASP
! ρ (g cm⁻³): 6.7
! E_form (eV/atom): -0.097
! Magnetic moment (μB/f.u.): 0.0
! Total energy (eV per atom): -5.187
! SG: No. 123
&SYSTEM
  ibrav = 0, nat = 4, ntyp = 3
/
ATOMIC_SPECIES
Y 88.91 Y.upf
Be 9.01 Be.upf
Pb 207.20 Pb.upf
CELL_PARAMETERS angstrom
4.850 0.000 0.000
0.000 4.850 0.000
0.000 0.000 4.152
ATOMIC_POSITIONS angstrom
Y 0.000 2.425 0.000
Y 2.425 0.000 0.000
Be 0.000 0.000 2.076
Pb 2.425 2.425 2.076

Entry 2:
! YBePb2 | Alexandria | PBE | optimized geometry; values from VASP
! ρ (g cm⁻³): 8.4
! E_form (eV/atom): 0.128
! Magnetic moment (μB/f.u.): 0.0
! Total energy (eV per atom): -4.274
! SG: No. 10
&SYSTEM
  ibrav = 0, nat = 4, ntyp = 3
/
ATOMIC_SPECIES
Y 88.91 Y.upf
Be 9.01 Be.upf
Pb 207.20 Pb.upf
CELL_PARAMETERS angstrom
3.499 0.000 0.000
0.000 4.321 0.000
-0.046 0.000 6.664
ATOMIC_POSITIONS angstrom
Y 0.000 0.000 0.000
Be 1.727 0.000 3.332
Pb 1.693 2.161 4.905
Pb 1.760 2.161 1.760

Entry 3:
! YBePb2 | Alexandria | PBE | optimized geometry; values from VASP
! ρ (g cm⁻³): 8.4
! E_form (eV/atom): 0.202
! Magnetic moment (μB/f.u.): 0.0
! Total energy (eV per atom): -4.200
! SG: No. 166
&SYSTEM
  ibrav = 0, nat = 12, ntyp = 3
/
ATOMIC_SPECIES
Y 88.91 Y.upf
Be 9.01 Be.upf
Pb 207.20 Pb.upf
CELL_PARAMETERS angstrom
3.611 0.000 0.000
-1.805 3.127 0.000
0.000 0.000 26.766
ATOMIC_POSITIONS angstrom
Y 0.000 0.000 0.000
Y 0.000 2.085 17.844
Y 1.805 1.042 8.922
Be 0.000 0.000 13.383
Be 0.000 2.085 4.461
Be 1.805 1.042 22.305
Pb 0.000 0.000 6.263
Pb 0.000 0.000 20.503
Pb 0.000 2.085 11.581
Pb 0.000 2.085 24.106
Pb 1.805 1.042 2.659
Pb 1.805 1.042 15.185

Entry 4:
! Y2BePb | Alexandria | PBE | optimized geometry; values from VASP
! ρ (g cm⁻³): 6.7
! E_form (eV/atom): -0.100
! Magnetic moment (μB/f.u.): 0.0
! Total energy (eV per atom): -5.191
! SG: No. 139
&SYSTEM
  ibrav = 0, nat = 8, ntyp = 3
/
ATOMIC_SPECIES
Y 88.91 Y.upf
Be 9.01 Be.upf
Pb 207.20 Pb.upf
CELL_PARAMETERS angstrom
4.888 0.000 0.000
0.000 4.888 0.000
0.000 0.000 8.136
ATOMIC_POSITIONS angstrom
Y 0.000 2.444 2.034
Y 0.000 2.444 6.102
Y 2.444 0.000 2.034
Y 2.444 0.000 6.102
Be 0.000 0.000 0.000
Be 2.444 2.444 4.068
Pb 0.000 0.000 4.068
Pb 2.444 2.444 0.000

Entry 5:
! Y2BePb | Alexandria | PBE | optimized geometry; values from VASP
! ρ (g cm⁻³): 6.5
! E_form (eV/atom): 0.445
! Magnetic moment (μB/f.u.): 0.0
! Total energy (eV per atom): -4.646
! SG: No. 216
&SYSTEM
  ibrav = 0, nat = 16, ntyp = 3
/
ATOMIC_SPECIES
Y 88.91 Y.upf
Be 9.01 Be.upf
Pb 207.20 Pb.upf
CELL_PARAMETERS angstrom
7.386 0.000 0.000
0.000 7.386 0.000
0.000 0.000 7.386
ATOMIC_POSITIONS angstrom
Y 0.000 0.000 0.000
Y 0.000 3.693 3.693
Y 1.847 1.847 1.847
Y 1.847 5.540 5.540
Y 3.693 0.000 3.693
Y 3.693 3.693 0.000
Y 5.540 1.847 5.540
Y 5.540 5.540 1.847
Be 0.000 0.000 3.693
Be 0.000 3.693 0.000
Be 3.693 0.000 0.000
Be 3.693 3.693 3.693
Pb 1.847 1.847 5.540
Pb 1.847 5.540 1.847
Pb 5.540 1.847 1.847
Pb 5.540 5.540 5.540

Entry 6:
! YBePb2 | Alexandria | PBE | optimized geometry; values from VASP
! ρ (g cm⁻³): 8.8
! E_form (eV/atom): 0.083
! Magnetic moment (μB/f.u.): 0.0
! Total energy (eV per atom): -4.319
! SG: No. 119
&SYSTEM
  ibrav = 0, nat = 8, ntyp = 3
/
ATOMIC_SPECIES
Y 88.91 Y.upf
Be 9.01 Be.upf
Pb 207.20 Pb.upf
CELL_PARAMETERS angstrom
4.354 0.000 0.000
0.000 4.354 0.000
0.000 0.000 10.221
ATOMIC_POSITIONS angstrom
Y 0.000 0.000 0.000
Y 2.177 2.177 5.111
Be 0.000 2.177 7.666
Be 2.177 0.000 2.555
Pb 0.000 0.000 5.111
Pb 0.000 2.177 2.555
Pb 2.177 0.000 7.666
Pb 2.177 2.177 0.000

Entry 7:
! Y2BePb | Alexandria | PBE | optimized geometry; values from VASP
! ρ (g cm⁻³): 6.8
! E_form (eV/atom): -0.171
! Magnetic moment (μB/f.u.): 0.0
! Total energy (eV per atom): -5.262
! SG: No. 123
&SYSTEM
  ibrav = 0, nat = 4, ntyp = 3
/
ATOMIC_SPECIES
Y 88.91 Y.upf
Be 9.01 Be.upf
Pb 207.20 Pb.upf
CELL_PARAMETERS angstrom
3.484 0.000 0.000
0.000 3.484 0.000
0.000 0.000 7.963
ATOMIC_POSITIONS angstrom
Y 0.000 0.000 1.684
Y 0.000 0.000 6.280
Be 1.742 1.742 0.000
Pb 1.742 1.742 3.982

Entry 8:
! Y2BePb2 | Alexandria | PBE | optimized geometry; values from VASP
! ρ (g cm⁻³): 7.8
! E_form (eV/atom): -0.147
! Magnetic moment (μB/f.u.): 0.0
! Total energy (eV per atom): -4.962
! SG: No. 127
&SYSTEM
  ibrav = 0, nat = 10, ntyp = 3
/
ATOMIC_SPECIES
Y 88.91 Y.upf
Be 9.01 Be.upf
Pb 207.20 Pb.upf
CELL_PARAMETERS angstrom
7.269 0.000 0.000
0.000 7.269 0.000
0.000 0.000 4.826
ATOMIC_POSITIONS angstrom
Y 1.232 2.402 0.000
Y 2.402 6.036 0.000
Y 4.867 1.232 0.000
Y 6.036 4.867 0.000
Be 0.000 0.000 2.413
Be 3.634 3.634 2.413
Pb 1.070 4.704 2.413
Pb 2.564 1.070 2.413
Pb 4.704 6.198 2.413
Pb 6.198 2.564 2.413

Entry 9:
! Y2BePb | Alexandria | PBE | optimized geometry; values from VASP
! ρ (g cm⁻³): 6.4
! E_form (eV/atom): 0.080
! Magnetic moment (μB/f.u.): 0.0
! Total energy (eV per atom): -5.010
! SG: No. 35
&SYSTEM
  ibrav = 0, nat = 8, ntyp = 3
/
ATOMIC_SPECIES
Y 88.91 Y.upf
Be 9.01 Be.upf
Pb 207.20 Pb.upf
CELL_PARAMETERS angstrom
4.595 0.000 0.000
0.000 5.287 0.000
0.000 0.000 8.380
ATOMIC_POSITIONS angstrom
Y 0.000 0.000 0.000
Y 0.000 2.643 2.668
Y 2.298 0.000 2.668
Y 2.298 2.643 0.000
Be 0.000 0.000 4.487
Be 2.298 2.643 4.487
Pb 0.000 2.643 5.958
Pb 2.298 0.000 5.958

Entry 10:
! Y4BePb | Alexandria | PBE | optimized geometry; values from VASP
! ρ (g cm⁻³): 5.4
! E_form (eV/atom): 0.571
! Magnetic moment (μB/f.u.): 0.0
! Total energy (eV per atom): -4.977
! SG: No. 216
&SYSTEM
  ibrav = 0, nat = 6, ntyp = 3
/
ATOMIC_SPECIES
Y 88.91 Y.upf
Be 9.01 Be.upf
Pb 207.20 Pb.upf
CELL_PARAMETERS angstrom
0.000 4.445 4.445
4.445 0.000 4.445
4.445 4.445 0.000
ATOMIC_POSITIONS angstrom
Y 1.111 1.111 1.111
Y 3.334 3.334 1.111
Y 3.334 1.111 3.334
Y 1.111 3.334 3.334
Be 6.668 6.668 6.668
Pb 4.445 4.445 4.445

Entry 11:
! YBePb3 | Alexandria | PBE | optimized geometry; values from VASP
! ρ (g cm⁻³): 5.8
! E_form (eV/atom): 1.014
! Magnetic moment (μB/f.u.): 0.0
! Total energy (eV per atom): -3.249
! SG: No. 221
&SYSTEM
  ibrav = 0, nat = 5, ntyp = 3
/
ATOMIC_SPECIES
Y 88.91 Y.upf
Be 9.01 Be.upf
Pb 207.20 Pb.upf
CELL_PARAMETERS angstrom
5.916 0.000 0.000
0.000 5.916 0.000
0.000 0.000 5.916
ATOMIC_POSITIONS angstrom
Y 0.000 0.000 0.000
Be 2.958 2.958 2.958
Pb 0.000 0.000 2.958
Pb 0.000 2.958 0.000
Pb 2.958 0.000 0.000

Entry 12:
! Y2BePb | Alexandria | PBE | optimized geometry; values from VASP
! ρ (g cm⁻³): 6.1
! E_form (eV/atom): -0.005
! Magnetic moment (μB/f.u.): 0.0
! Total energy (eV per atom): -5.096
! SG: No. 12
&SYSTEM
  ibrav = 0, nat = 8, ntyp = 3
/
ATOMIC_SPECIES
Y 88.91 Y.upf
Be 9.01 Be.upf
Pb 207.20 Pb.upf
CELL_PARAMETERS angstrom
8.718 0.000 0.000
0.000 3.652 0.000
-1.468 0.000 6.690
ATOMIC_POSITIONS angstrom
Y 1.769 0.000 1.438
Y 1.121 1.826 5.253
Y 6.128 1.826 1.438
Y 5.480 0.000 5.253
Be 0.000 1.826 0.000
Be 4.359 0.000 0.000
Pb -0.734 0.000 3.345
Pb 3.625 1.826 3.345

Entry 13:
! Be4ZnPb | Alexandria | PBE | optimized geometry; values from VASP
! ρ (g cm⁻³): 6.5
! E_form (eV/atom): 0.501
! Magnetic moment (μB/f.u.): 0.0
! Total energy (eV per atom): -2.814
! SG: No. 216
&SYSTEM
  ibrav = 0, nat = 6, ntyp = 3
/
ATOMIC_SPECIES
Be 9.01 Be.upf
Zn 65.41 Zn.upf
Pb 207.20 Pb.upf
CELL_PARAMETERS angstrom
0.000 3.403 3.403
3.403 0.000 3.403
3.403 3.403 0.000
ATOMIC_POSITIONS angstrom
Be 2.574 2.574 2.574
Be 4.233 4.233 2.574
Be 4.233 2.574 4.233
Be 2.574 4.233 4.233
Zn 5.105 5.105 5.105
Pb 0.000 0.000 0.000

Entry 14:
! Be3ZnPb | Alexandria | PBE | optimized geometry; values from VASP
! ρ (g cm⁻³): 6.1
! E_form (eV/atom): 0.765
! Magnetic moment (μB/f.u.): 0.0
! Total energy (eV per atom): -2.467
! SG: No. 221
&SYSTEM
  ibrav = 0, nat = 5, ntyp = 3
/
ATOMIC_SPECIES
Be 9.01 Be.upf
Zn 65.41 Zn.upf
Pb 207.20 Pb.upf
CELL_PARAMETERS angstrom
4.331 0.000 0.000
0.000 4.331 0.000
0.000 0.000 4.331
ATOMIC_POSITIONS angstrom
Be 0.000 0.000 2.166
Be 0.000 2.166 0.000
Be 2.166 0.000 0.000
Zn 0.000 0.000 0.000
Pb 2.166 2.166 2.166